Density functional theory data (PBE) for a relaxed structure of Ba2Na2US4O2.

The structure in POSCAR format:
```
Ba2Na2US4O2
1.0
-2.245 -1.750 -5.819
4.099 -4.847 -2.462
-4.327 -5.320 0.246
Ba Na U S O
2 2 1 4 2
Cartesian
0.969 -6.392 -4.348
-3.442 -5.525 -3.687
-2.951 -8.608 -6.364
0.479 -3.309 -1.671
0.000 0.000 0.000
-0.375 -7.491 -7.112
-2.098 -4.426 -0.923
-1.562 -8.087 -3.245
-0.910 -3.830 -4.790
-2.088 -10.880 -6.463
-0.384 -1.037 -1.572
```

Summary:
Symmetry = No. 2
Total moment = 0.00 μB/atom
Uncorrected formation energy = -2.06 eV/atom
VASP energy = -66.8 eV/cell